No. 1
Density functional theory data (GGA-PBE) for Zn3InH after structural relaxation.

abc: 5.1607 5.1607 5.1607
angles: 90.00 90.00 90.00
Fractional positions:
Zn1 0.0000 0.0000 0.5000
Zn2 0.0000 0.5000 0.0000
Zn3 0.5000 0.0000 0.0000
In1 0.0000 0.0000 0.0000
H1 0.5000 0.5000 0.5000

## Properties
The calculation puts the density of states at the Fermi level at 1.1 states/eV/f.u. The calculation puts the total energy at -5.9 eV per formula unit. The crystal system is cubic.

=====

No. 2
Density functional theory data (GGA-PBE) for CsRbPt3 after structural relaxation.

abc: 5.4510 5.4510 5.4510
angles: 90.00 90.00 90.00
Fractional positions:
Cs1 0.0000 0.0000 0.0000
Rb1 0.5000 0.5000 0.5000
Pt1 0.0000 0.5000 0.5000
Pt2 0.5000 0.0000 0.5000
Pt3 0.5000 0.5000 0.0000

## Properties
The calculation puts the density of states at the Fermi level at 0.6 states/eV/f.u. The calculation puts the total energy at -12.2 eV per formula unit. The crystal system is cubic. The energy of formation from the pure elements comes out at 1.548 eV per atom.

=====

No. 3
Density functional theory data (GGA-PBE) for Nd2NpOs after structural relaxation.

abc: 11.1277 11.1277 11.1277
angles: 17.49 17.49 17.49
Fractional positions:
Nd1 0.1013 0.1013 0.1013
Nd2 0.8987 0.8987 0.8987
Np1 0.0000 0.0000 0.0000
Os1 0.5000 0.5000 0.5000

## Properties
The calculation puts the density of states at the Fermi level at 10.4 states/eV/f.u. The calculation puts the total energy at -30.8 eV per formula unit. The crystal system is trigonal. The energy of formation from the pure elements comes out at 0.717 eV per atom.

=====

No. 4
Density functional theory data (GGA-PBE) for VOs2I after structural relaxation.

abc: 7.1724 7.1724 7.1724
angles: 134.99 134.99 65.54
Fractional positions:
V1 0.0000 0.0000 0.0000
V2 0.7500 0.2500 0.5000
Os1 0.0799 0.6250 0.9549
Os2 0.3750 0.3299 0.4549
Os3 0.6701 0.1250 0.0451
Os4 0.8750 0.9201 0.5451
I1 0.2500 0.7500 0.5000
I2 0.5000 0.5000 0.0000

## Properties
The calculation puts the density of states at the Fermi level at 2.1 states/eV/f.u. The calculation puts the total energy at -27.9 eV per formula unit. The crystal system is tetragonal.

=====

No. 5
Density functional theory data (GGA-PBE) for Pm3NdAu4 after structural relaxation.

abc: 6.4143 6.4143 6.4143
angles: 109.47 109.47 109.47
Fractional positions:
Pm1 0.0000 0.5000 0.5000
Pm2 0.5000 0.0000 0.5000
Pm3 0.5000 0.5000 0.0000
Nd1 0.0000 0.0000 0.0000
Au1 0.0000 0.0000 0.5000
Au2 0.0000 0.5000 0.0000
Au3 0.5000 0.0000 0.0000
Au4 0.5000 0.5000 0.5000

## Properties
The calculation puts the density of states at the Fermi level at 8.7 states/eV/f.u. The calculation puts the total energy at -38.3 eV per formula unit. The crystal system is cubic. The energy of formation from the pure elements comes out at -0.772 eV per atom.

=====

No. 6
Density functional theory data (GGA-PBE) for ZnSiRh3 after structural relaxation.

abc: 7.0394 7.0394 6.2475
angles: 90.00 90.00 76.88
Fractional positions:
Zn1 0.0098 0.9902 0.7500
Zn2 0.3248 0.6752 0.7500
Zn3 0.6752 0.3248 0.2500
Zn4 0.9902 0.0098 0.2500
Si1 0.1298 0.4209 0.2500
Si2 0.4209 0.1298 0.7500
Si3 0.5791 0.8702 0.2500
Si4 0.8702 0.5791 0.7500
Rh1 0.0368 0.6959 0.0188
Rh2 0.0368 0.6959 0.4812
Rh3 0.3041 0.9632 0.0188
Rh4 0.3041 0.9632 0.4812
Rh5 0.3760 0.3760 0.0000
Rh6 0.3760 0.3760 0.5000
Rh7 0.6240 0.6240 0.0000
Rh8 0.6240 0.6240 0.5000
Rh9 0.6959 0.0368 0.5188
Rh10 0.6959 0.0368 0.9812
Rh11 0.9632 0.3041 0.5188
Rh12 0.9632 0.3041 0.9812

## Properties
The calculation puts the density of states at the Fermi level at 4.3 states/eV/f.u. The calculation puts the total energy at -30.6 eV per formula unit. The crystal system is orthorhombic.

=====

No. 7
Density functional theory data (GGA-PBE) for Sc2ReBr after structural relaxation.

abc: 10.1972 10.1972 10.1972
angles: 18.09 18.09 18.09
Fractional positions:
Sc1 0.0000 0.0000 0.0000
Sc2 0.2387 0.2387 0.2387
Re1 0.5067 0.5067 0.5067
Br1 0.7307 0.7307 0.7307

## Properties
The calculation puts the density of states at the Fermi level at 3.9 states/eV/f.u. The calculation puts the total energy at -26.0 eV per formula unit. The crystal system is trigonal.

=====

No. 8
Density functional theory data (GGA-PBE) for TbEr4Tm after structural relaxation.

abc: 3.4518 5.5346 9.5631
angles: 90.00 90.00 90.00
Fractional positions:
Tb1 0.0000 0.0000 0.0000
Er1 0.5000 0.0000 0.3348
Er2 0.5000 0.0000 0.6652
Er3 0.5000 0.5000 0.1683
Er4 0.5000 0.5000 0.8317
Tm1 0.0000 0.5000 0.5000

## Properties
The calculation puts the density of states at the Fermi level at 10.8 states/eV/f.u. The calculation puts the total energy at -26.9 eV per formula unit. The crystal system is orthorhombic. The energy of formation from the pure elements comes out at 0.077 eV per atom.

=====

No. 9
Density functional theory data (GGA-PBE) for Cr2CoH6 after structural relaxation.

abc: 5.1050 5.1050 5.1050
angles: 146.91 132.43 59.17
Fractional positions:
Cr1 0.1651 0.1651 0.0000
Cr2 0.8349 0.8349 0.0000
Co1 0.5000 0.5000 0.0000
H1 0.0932 0.3357 0.7576
H2 0.2636 0.0000 0.2636
H3 0.4219 0.6643 0.7576
H4 0.5781 0.3357 0.2424
H5 0.7364 0.0000 0.7364
H6 0.9068 0.6643 0.2424

## Properties
The calculation puts the density of states at the Fermi level at 6.2 states/eV/f.u. The calculation puts the total energy at -45.9 eV per formula unit. The crystal system is orthorhombic.

=====

No. 10
Density functional theory data (GGA-PBE) for TaCrNi after structural relaxation.

abc: 6.1113 6.1113 6.1113
angles: 154.94 154.94 35.74
Fractional positions:
Ta1 0.0000 0.0000 0.0000
Cr1 0.6845 0.6845 0.0000
Ni1 0.3256 0.3256 0.0000

## Properties
The calculation puts the density of states at the Fermi level at 2.2 states/eV/f.u. The calculation puts the total energy at -27.0 eV per formula unit. The crystal system is tetragonal. The energy of formation from the pure elements comes out at 0.089 eV per atom.

=====

No. 11
Density functional theory data (GGA-PBE) for ReSb2Br after structural relaxation.

abc: 7.5722 7.5722 7.5722
angles: 154.37 146.57 42.60
Fractional positions:
Re1 0.0000 0.0000 0.0000
Sb1 0.1511 0.6511 0.5000
Sb2 0.4788 0.4788 0.0000
Br1 0.8043 0.3043 0.5000

## Properties
The calculation puts the density of states at the Fermi level at 2.0 states/eV/f.u. The calculation puts the total energy at -20.6 eV per formula unit. The crystal system is orthorhombic.

=====

No. 12
Density functional theory data (GGA-PBE) for Sr2CrH4 after structural relaxation.

abc: 8.3480 8.3480 8.3480
angles: 154.51 154.51 36.36
Fractional positions:
Sr1 0.1304 0.1304 0.0000
Sr2 0.8696 0.8696 0.0000
Cr1 0.5000 0.5000 0.0000
H1 0.0000 0.5000 0.5000
H2 0.3887 0.3887 0.0000
H3 0.5000 0.0000 0.5000
H4 0.6113 0.6113 0.0000

## Properties
The calculation puts the density of states at the Fermi level at 3.5 states/eV/f.u. The calculation puts the total energy at -28.0 eV per formula unit. The crystal system is tetragonal.

=====

No. 13
Density functional theory data (GGA-PBE) for Ce2As3Au after structural relaxation.

abc: 8.2682 4.1843 16.3527
angles: 90.00 90.00 90.00
Fractional positions:
Ce1 0.0952 0.2500 0.2231
Ce2 0.2473 0.7500 0.4723
Ce3 0.2527 0.2500 0.9723
Ce4 0.4048 0.7500 0.7231
Ce5 0.5952 0.2500 0.2769
Ce6 0.7473 0.7500 0.0277
Ce7 0.7527 0.2500 0.5277
Ce8 0.9048 0.7500 0.7769
As1 0.0386 0.2500 0.4059
As2 0.0984 0.7500 0.0737
As3 0.1756 0.2500 0.7893
As4 0.3244 0.7500 0.2893
As5 0.4016 0.2500 0.5737
As6 0.4614 0.7500 0.9059
As7 0.5386 0.2500 0.0941
As8 0.5984 0.7500 0.4263
As9 0.6756 0.2500 0.7107
As10 0.8244 0.7500 0.2107
As11 0.9016 0.2500 0.9263
As12 0.9614 0.7500 0.5941
Au1 0.1184 0.2500 0.6356
Au2 0.3816 0.7500 0.1356
Au3 0.6184 0.2500 0.8644
Au4 0.8816 0.7500 0.3644

## Properties
The calculation puts the density of states at the Fermi level at 1.6 states/eV/f.u. The calculation puts the total energy at -34.9 eV per formula unit. The crystal system is orthorhombic. The energy of formation from the pure elements comes out at -0.966 eV per atom.

=====

No. 14
Density functional theory data (GGA-PBE) for LiCa2Os after structural relaxation.

abc: 10.3602 10.3602 10.3602
angles: 18.62 18.62 18.62
Fractional positions:
Li1 0.0000 0.0000 0.0000
Ca1 0.2362 0.2362 0.2362
Ca2 0.7638 0.7638 0.7638
Os1 0.5000 0.5000 0.5000

## Properties
The calculation puts the density of states at the Fermi level at 3.2 states/eV/f.u. The calculation puts the total energy at -15.2 eV per formula unit. The crystal system is trigonal. The energy of formation from the pure elements comes out at 0.492 eV per atom.

=====

No. 15
Density functional theory data (GGA-PBE) for LiAg6Pd2 after structural relaxation.

abc: 7.1177 7.1177 7.4603
angles: 115.19 115.19 85.80
Fractional positions:
Li1 0.1457 0.8543 0.7500
Li2 0.8543 0.1457 0.2500
Ag1 0.0068 0.7819 0.3149
Ag2 0.0950 0.3585 0.1445
Ag3 0.2181 0.9932 0.1851
Ag4 0.3216 0.5692 0.0252
Ag5 0.3585 0.0950 0.6445
Ag6 0.4308 0.6784 0.4748
Ag7 0.5692 0.3216 0.5252
Ag8 0.6415 0.9050 0.3555
Ag9 0.6784 0.4308 0.9748
Ag10 0.7819 0.0068 0.8149
Ag11 0.9050 0.6415 0.8555
Ag12 0.9932 0.2181 0.6851
Pd1 0.2039 0.4548 0.5822
Pd2 0.4548 0.2039 0.0822
Pd3 0.5452 0.7961 0.9178
Pd4 0.7961 0.5452 0.4178

## Properties
The calculation puts the density of states at the Fermi level at 2.8 states/eV/f.u. The calculation puts the total energy at -29.9 eV per formula unit. The crystal system is monoclinic. The energy of formation from the pure elements comes out at -0.051 eV per atom.

=====

No. 16
Density functional theory data (GGA-PBE) for Sm2TeS2 after structural relaxation.

abc: 7.2308 7.2308 7.4630
angles: 114.85 114.85 97.37
Fractional positions:
Sm1 0.0831 0.9169 0.7500
Sm2 0.3327 0.6673 0.2500
Sm3 0.6673 0.3327 0.7500
Sm4 0.9169 0.0831 0.2500
Te1 0.3750 0.6250 0.7500
Te2 0.6250 0.3750 0.2500
S1 0.0175 0.2668 0.0331
S2 0.2668 0.0175 0.5331
S3 0.7332 0.9825 0.4669
S4 0.9825 0.7332 0.9669

## Properties
The calculation puts the density of states at the Fermi level at 0.0 states/eV/f.u. The calculation puts the total energy at -29.6 eV per formula unit. The crystal system is monoclinic.

=====

No. 17
Density functional theory data (GGA-PBE) for Na2IrOs after structural relaxation.

abc: 4.6028 4.6028 4.6028
angles: 60.00 60.00 60.00
Fractional positions:
Na1 0.2500 0.2500 0.2500
Na2 0.7500 0.7500 0.7500
Ir1 0.0000 0.0000 0.0000
Os1 0.5000 0.5000 0.5000

## Properties
The calculation puts the density of states at the Fermi level at 11.5 states/eV/f.u. The calculation puts the total energy at -16.6 eV per formula unit. The crystal system is cubic. The energy of formation from the pure elements comes out at 1.541 eV per atom.

=====

No. 18
Density functional theory data (GGA-PBE) for TbMg2Ag after structural relaxation.

abc: 3.4197 3.4197 7.9223
angles: 90.00 90.00 90.00
Fractional positions:
Tb1 0.0000 0.0000 0.0000
Mg1 0.5000 0.5000 0.2976
Mg2 0.5000 0.5000 0.7024
Ag1 0.0000 0.0000 0.5000

## Properties
The calculation puts the density of states at the Fermi level at 4.2 states/eV/f.u. The calculation puts the total energy at -11.2 eV per formula unit. The crystal system is tetragonal. The energy of formation from the pure elements comes out at -0.129 eV per atom.

=====

No. 19
Density functional theory data (GGA-PBE) for HoNb4O8 after structural relaxation.

abc: 6.7186 6.7186 6.7186
angles: 52.75 52.75 52.75
Fractional positions:
Ho1 0.0000 0.0000 0.0000
Nb1 0.0000 0.0000 0.5000
Nb2 0.0000 0.5000 0.0000
Nb3 0.5000 0.0000 0.0000
Nb4 0.5000 0.5000 0.5000
O1 0.2342 0.2342 0.2342
O2 0.2359 0.7478 0.7478
O3 0.2522 0.2522 0.7641
O4 0.2522 0.7641 0.2522
O5 0.7478 0.2359 0.7478
O6 0.7478 0.7478 0.2359
O7 0.7641 0.2522 0.2522
O8 0.7658 0.7658 0.7658

## Properties
The calculation puts the density of states at the Fermi level at 7.2 states/eV/f.u. The calculation puts the total energy at -115.5 eV per formula unit. The crystal system is trigonal.

=====

No. 20
Density functional theory data (GGA-PBE) for TbMgGa2Cu2 after structural relaxation.

abc: 4.2516 4.2516 6.8504
angles: 90.00 90.00 120.00
Fractional positions:
Tb1 0.0000 0.0000 0.0000
Mg1 0.0000 0.0000 0.5000
Ga1 0.3333 0.6667 0.2766
Ga2 0.6667 0.3333 0.7234
Cu1 0.3333 0.6667 0.7002
Cu2 0.6667 0.3333 0.2998

## Properties
The calculation puts the density of states at the Fermi level at 2.4 states/eV/f.u. The calculation puts the total energy at -22.8 eV per formula unit. The crystal system is trigonal. The energy of formation from the pure elements comes out at -0.390 eV per atom.